Compound: VHg2SbRu
Source: Alexandria
Functional: PBE
Structure: relaxed

Cell lengths 5.118, 5.118, 4.979 Å; angles 90.00, 90.00, 90.00 degrees
Space group P4/mmm (No. 123)
Inequivalent atoms, fractional coordinates:
1 V 0.000 0.000 0.000 (multiplicity 1)
2 Hg 0.000 0.500 0.000 (multiplicity 2)
3 Sb 0.000 0.000 0.500 (multiplicity 1)
4 Ru 0.500 0.500 0.500 (multiplicity 1)

M_tot ... 3.108 Bohr magnetons per cell
Total DFT energy (no corrections) ... -3.378 eV per atom
DOS(E_F) ... 2.3008 states/eV per atom
Formation energy (no corrections) ... 1.25 eV/atom